Ta13W2 | PBE | optimized geometry

Properties
Space-group type: P4_2/mnm, No. 136
Calculated density in g/cm³: 16.5
Magnetic moment in μB per cell: 0.056
DFT formation energy in meV/atom: 52

a b c (Å): 10.1584 10.1584 5.3135
angles (deg): 90.00 90.00 90.00
With the nearest neighbours (Å) after each atom.
Fractional positions:
Ta (0.0000, 0.0000, 0.0000)  8 Ta 2.73-2.92, 4 W 3.04
Ta (0.0357, 0.3681, 0.5000)  5 Ta 2.78-2.89, 1 W 2.78
Ta (0.0664, 0.2606, 0.0000)  10 Ta 2.73-2.96
Ta (0.1319, 0.5357, 0.0000)  5 Ta 2.78-2.89, 1 W 2.78
Ta (0.1810, 0.8190, 0.2515)  5 Ta 2.64-2.95
Ta (0.1810, 0.8190, 0.7485)  5 Ta 2.64-2.95
Ta (0.2394, 0.5664, 0.5000)  10 Ta 2.73-2.96
Ta (0.2606, 0.0664, 0.0000)  10 Ta 2.73-2.96
Ta (0.3190, 0.3190, 0.2485)  5 Ta 2.64-2.95
Ta (0.3190, 0.3190, 0.7515)  5 Ta 2.64-2.95
Ta (0.3681, 0.0357, 0.5000)  5 Ta 2.78-2.89, 1 W 2.78
Ta (0.4336, 0.7606, 0.5000)  10 Ta 2.73-2.96
Ta (0.4643, 0.8681, 0.0000)  5 Ta 2.78-2.89, 1 W 2.78
Ta (0.5000, 0.5000, 0.5000)  8 Ta 2.73-2.92, 4 W 3.04
Ta (0.5357, 0.1319, 0.0000)  5 Ta 2.78-2.89, 1 W 2.78
Ta (0.5664, 0.2394, 0.5000)  10 Ta 2.73-2.96
Ta (0.6319, 0.9643, 0.5000)  5 Ta 2.78-2.89, 1 W 2.78
Ta (0.6810, 0.6810, 0.2485)  5 Ta 2.64-2.95
Ta (0.6810, 0.6810, 0.7515)  5 Ta 2.64-2.95
Ta (0.7394, 0.9336, 0.0000)  10 Ta 2.73-2.96
Ta (0.7606, 0.4336, 0.5000)  10 Ta 2.73-2.96
Ta (0.8190, 0.1810, 0.2515)  5 Ta 2.64-2.95
Ta (0.8190, 0.1810, 0.7485)  5 Ta 2.64-2.95
Ta (0.8681, 0.4643, 0.0000)  5 Ta 2.78-2.89, 1 W 2.78
Ta (0.9336, 0.7394, 0.0000)  10 Ta 2.73-2.96
Ta (0.9643, 0.6319, 0.5000)  5 Ta 2.78-2.89, 1 W 2.78
W (0.1034, 0.1034, 0.5000)  4 Ta 2.78-3.04, 1 W 2.97
W (0.3966, 0.6034, 0.0000)  4 Ta 2.78-3.04, 1 W 2.97
W (0.6034, 0.3966, 0.0000)  4 Ta 2.78-3.04, 1 W 2.97
W (0.8966, 0.8966, 0.5000)  4 Ta 2.78-3.04, 1 W 2.97

Y2SnW | PBE | optimized geometry

Properties
Space-group type: F-43m, No. 216
Calculated density in g/cm³: 8.7
Total DFT energy (no corrections) in hartree per atom: -0.266
Magnetic moment in μB per cell: 1.968

a b c (Å): 5.0577 5.0577 5.0577
angles (deg): 60.00 60.00 60.00
With the nearest neighbours (Å) after each atom.
Fractional positions:
Y (0.0000, 0.0000, 0.0000)  4 W 3.10, 4 Y 3.10
Y (0.2500, 0.2500, 0.2500)  4 Sn 3.10, 4 Y 3.10
Sn (0.5000, 0.5000, 0.5000)  4 W 3.10, 4 Y 3.10
W (0.7500, 0.7500, 0.7500)  4 Sn 3.10, 4 Y 3.10

NaLuTaCo | PBE | optimized geometry

Properties
Space-group type: F-43m, No. 216
Calculated density in g/cm³: 10.0
Total DFT energy (no corrections) in hartree per atom: -0.200
Magnetic moment in μB per cell: 0.003

a b c (Å): 4.6848 4.6848 4.6848
angles (deg): 60.00 60.00 60.00
With the nearest neighbours (Å) after each atom.
Fractional positions:
Na (0.0000, 0.0000, 0.0000)  4 Co 2.87, 4 Lu 2.87
Lu (0.2500, 0.2500, 0.2500)  4 Ta 2.87, 4 Na 2.87
Ta (0.5000, 0.5000, 0.5000)  4 Lu 2.87, 4 Co 2.87
Co (0.7500, 0.7500, 0.7500)  4 Ta 2.87, 4 Na 2.87

BiIr15 | PBE | optimized geometry

Properties
Space-group type: P2_1/m, No. 11
Calculated density in g/cm³: 15.3
Total DFT energy (no corrections) in hartree per atom: -0.309
Magnetic moment in μB per cell: 0.013

a b c (Å): 5.4614 2.7724 44.3102
angles (deg): 90.00 90.00 90.00
With the nearest neighbours (Å) after each atom.
Fractional positions:
Bi (0.1250, 0.2500, 0.1588)  2 Bi 2.77, 2 Ir 2.83
Bi (0.8750, 0.7500, 0.8412)  2 Bi 2.77, 2 Ir 2.83
Ir (0.1212, 0.2500, 0.7829)  10 Ir 2.68-2.77
Ir (0.1250, 0.2500, 0.2600)  12 Ir 2.71-2.77
Ir (0.1250, 0.2500, 0.3472)  12 Ir 2.73-2.77
Ir (0.1249, 0.2500, 0.4345)  12 Ir 2.73-2.77
Ir (0.1249, 0.2500, 0.5218)  12 Ir 2.73-2.77
Ir (0.1253, 0.2500, 0.6091)  12 Ir 2.73-2.77
Ir (0.1263, 0.2500, 0.6964)  12 Ir 2.72-2.77
Ir (0.3713, 0.7500, 0.2171)  10 Ir 2.68-2.77
Ir (0.3753, 0.7500, 0.3909)  12 Ir 2.73-2.77
Ir (0.3750, 0.7500, 0.4782)  12 Ir 2.73-2.77
Ir (0.3749, 0.7500, 0.5655)  12 Ir 2.73-2.77
Ir (0.3750, 0.7500, 0.6526)  12 Ir 2.73-2.77
Ir (0.3750, 0.7500, 0.7401)  12 Ir 2.73-2.77
Ir (0.3750, 0.7500, 0.8242)  6 Ir 2.68-2.77, 2 Bi 2.83
Ir (0.3763, 0.7500, 0.3036)  12 Ir 2.72-2.77
Ir (0.6237, 0.2500, 0.6964)  12 Ir 2.72-2.77
Ir (0.6250, 0.2500, 0.1758)  6 Ir 2.68-2.77, 2 Bi 2.83
Ir (0.6250, 0.2500, 0.2599)  12 Ir 2.73-2.77
Ir (0.6250, 0.2500, 0.3474)  12 Ir 2.73-2.77
Ir (0.6251, 0.2500, 0.4345)  12 Ir 2.73-2.77
Ir (0.6250, 0.2500, 0.5218)  12 Ir 2.73-2.77
Ir (0.6247, 0.2500, 0.6091)  12 Ir 2.73-2.77
Ir (0.6287, 0.2500, 0.7829)  10 Ir 2.68-2.77
Ir (0.8737, 0.7500, 0.3036)  12 Ir 2.72-2.77
Ir (0.8747, 0.7500, 0.3909)  12 Ir 2.73-2.77
Ir (0.8751, 0.7500, 0.4782)  12 Ir 2.73-2.77
Ir (0.8751, 0.7500, 0.5655)  12 Ir 2.73-2.77
Ir (0.8750, 0.7500, 0.6528)  12 Ir 2.73-2.77
Ir (0.8750, 0.7500, 0.7400)  12 Ir 2.71-2.77
Ir (0.8788, 0.7500, 0.2171)  10 Ir 2.68-2.77

FeCoHgAs | PBE | optimized geometry

Properties
Space-group type: F-43m, No. 216
Calculated density in g/cm³: 11.0
Total DFT energy (no corrections) in hartree per atom: -0.172
Magnetic moment in μB per cell: 3.108

a b c (Å): 4.3742 4.3742 4.3742
angles (deg): 60.00 60.00 60.00
With the nearest neighbours (Å) after each atom.
Fractional positions:
Fe (0.0000, 0.0000, 0.0000)  4 Hg 2.68, 4 As 2.68
Co (0.5000, 0.5000, 0.5000)  4 Hg 2.68, 4 As 2.68
Hg (0.7500, 0.7500, 0.7500)  4 Fe 2.68, 4 Co 2.68
As (0.2500, 0.2500, 0.2500)  4 Fe 2.68, 4 Co 2.68

KPrCoTe3 | PBE | optimized geometry

Properties
Space-group type: Pnma, No. 62
Calculated density in g/cm³: 5.4
Total DFT energy (no corrections) in hartree per atom: -0.167
Magnetic moment in μB per cell: 9.594

a b c (Å): 12.4822 4.5180 13.4962
angles (deg): 90.00 90.00 90.00
With the nearest neighbours (Å) after each atom.
Fractional positions:
K (0.1755, 0.2500, 0.0014)  7 Te 3.51-3.61, 2 Co 3.73
K (0.3245, 0.7500, 0.5014)  7 Te 3.51-3.61, 2 Co 3.73
K (0.6755, 0.2500, 0.4986)  7 Te 3.51-3.61, 2 Co 3.73
K (0.8245, 0.7500, 0.9986)  7 Te 3.51-3.61, 2 Co 3.73
Pr (0.0252, 0.2500, 0.6734)  7 Te 3.18-3.38
Pr (0.4748, 0.7500, 0.1734)  7 Te 3.18-3.38
Pr (0.5252, 0.2500, 0.8266)  7 Te 3.18-3.38
Pr (0.9748, 0.7500, 0.3266)  7 Te 3.18-3.38
Co (0.2491, 0.2500, 0.2930)  4 Te 2.55-2.59
Co (0.2509, 0.7500, 0.7930)  4 Te 2.55-2.59
Co (0.7491, 0.2500, 0.2070)  4 Te 2.55-2.59
Co (0.7509, 0.7500, 0.7070)  4 Te 2.55-2.59
Te (0.0522, 0.7500, 0.8378)  1 Co 2.55
Te (0.1148, 0.2500, 0.4397)  1 Co 2.59
Te (0.2130, 0.7500, 0.2071)  2 Co 2.58
Te (0.2870, 0.2500, 0.7071)  2 Co 2.58
Te (0.3852, 0.7500, 0.9397)  1 Co 2.59
Te (0.4478, 0.2500, 0.3378)  1 Co 2.55
Te (0.5522, 0.7500, 0.6622)  1 Co 2.55
Te (0.6148, 0.2500, 0.0603)  1 Co 2.59
Te (0.7130, 0.7500, 0.2929)  2 Co 2.58
Te (0.7870, 0.2500, 0.7929)  2 Co 2.58
Te (0.8852, 0.7500, 0.5603)  1 Co 2.59
Te (0.9478, 0.2500, 0.1622)  1 Co 2.55

Question: Number 6 is which compound?
Answer: KPrCoTe3

Please write out number 4 again, unchanged.
BiIr15 | PBE | optimized geometry

Properties
Space-group type: P2_1/m, No. 11
Calculated density in g/cm³: 15.3
Total DFT energy (no corrections) in hartree per atom: -0.309
Magnetic moment in μB per cell: 0.013

a b c (Å): 5.4614 2.7724 44.3102
angles (deg): 90.00 90.00 90.00
With the nearest neighbours (Å) after each atom.
Fractional positions:
Bi (0.1250, 0.2500, 0.1588)  2 Bi 2.77, 2 Ir 2.83
Bi (0.8750, 0.7500, 0.8412)  2 Bi 2.77, 2 Ir 2.83
Ir (0.1212, 0.2500, 0.7829)  10 Ir 2.68-2.77
Ir (0.1250, 0.2500, 0.2600)  12 Ir 2.71-2.77
Ir (0.1250, 0.2500, 0.3472)  12 Ir 2.73-2.77
Ir (0.1249, 0.2500, 0.4345)  12 Ir 2.73-2.77
Ir (0.1249, 0.2500, 0.5218)  12 Ir 2.73-2.77
Ir (0.1253, 0.2500, 0.6091)  12 Ir 2.73-2.77
Ir (0.1263, 0.2500, 0.6964)  12 Ir 2.72-2.77
Ir (0.3713, 0.7500, 0.2171)  10 Ir 2.68-2.77
Ir (0.3753, 0.7500, 0.3909)  12 Ir 2.73-2.77
Ir (0.3750, 0.7500, 0.4782)  12 Ir 2.73-2.77
Ir (0.3749, 0.7500, 0.5655)  12 Ir 2.73-2.77
Ir (0.3750, 0.7500, 0.6526)  12 Ir 2.73-2.77
Ir (0.3750, 0.7500, 0.7401)  12 Ir 2.73-2.77
Ir (0.3750, 0.7500, 0.8242)  6 Ir 2.68-2.77, 2 Bi 2.83
Ir (0.3763, 0.7500, 0.3036)  12 Ir 2.72-2.77
Ir (0.6237, 0.2500, 0.6964)  12 Ir 2.72-2.77
Ir (0.6250, 0.2500, 0.1758)  6 Ir 2.68-2.77, 2 Bi 2.83
Ir (0.6250, 0.2500, 0.2599)  12 Ir 2.73-2.77
Ir (0.6250, 0.2500, 0.3474)  12 Ir 2.73-2.77
Ir (0.6251, 0.2500, 0.4345)  12 Ir 2.73-2.77
Ir (0.6250, 0.2500, 0.5218)  12 Ir 2.73-2.77
Ir (0.6247, 0.2500, 0.6091)  12 Ir 2.73-2.77
Ir (0.6287, 0.2500, 0.7829)  10 Ir 2.68-2.77
Ir (0.8737, 0.7500, 0.3036)  12 Ir 2.72-2.77
Ir (0.8747, 0.7500, 0.3909)  12 Ir 2.73-2.77
Ir (0.8751, 0.7500, 0.4782)  12 Ir 2.73-2.77
Ir (0.8751, 0.7500, 0.5655)  12 Ir 2.73-2.77
Ir (0.8750, 0.7500, 0.6528)  12 Ir 2.73-2.77
Ir (0.8750, 0.7500, 0.7400)  12 Ir 2.71-2.77
Ir (0.8788, 0.7500, 0.2171)  10 Ir 2.68-2.77

Question: Which value of magnetic moment does entry 3 give?
Answer: 0.003 μB per cell